1.
SmUAs2 PBE-GGA relaxed; ρ = 6.9 g/cm3; calculated total energy = -6.40 eV per atom; energy of formation from the pure elements = -0.070 eV/atom
1.0
2.070 1.195 8.705
-2.070 1.195 8.705
0.000 -2.391 8.705
Sm U As
1 1 2
Direct
0.000 0.000 0.000 Sm
0.500 0.500 0.500 U
0.398 0.398 0.398 As
0.602 0.602 0.602 As

---

2.
KYIn PBE-GGA relaxed; ρ = 3.4 g/cm3; calculated total energy = -3.40 eV per atom; energy of formation from the pure elements = 0.035 eV/atom
1.0
-1.837 2.328 6.855
1.837 -2.328 6.855
1.837 2.328 -6.855
K Y In
1 1 1
Direct
0.000 0.000 0.000 K
0.271 0.271 0.000 Y
0.698 0.698 0.000 In